Material: AcPrDy4Er2
Method: DFT, PBE-GGA
State: optimized geometry

Total magnetization, μB per formula unit: 2.07
Energy relative to the elements, eV/f.u.: 3.51

abc: 13.788 13.420 6.945
angles: 90.00 120.23 90.00
Space group C2/c (No. 15)
Asymmetric unit:
Ac 0.000 0.000 0.000 (multiplicity 4)
Pr 0.250 0.250 0.000 (multiplicity 4)
Dy 0.000 0.262 0.002 (multiplicity 8)
Dy 0.235 0.496 0.484 (multiplicity 8)
Er 0.000 0.500 0.000 (multiplicity 4)
Er 0.250 0.250 0.500 (multiplicity 4)

Material: NaSr2CoH6
Method: DFT, PBE-GGA
State: optimized geometry

Calculated total energy, eV/f.u.: -35.431
Total magnetization, μB per formula unit: 0.00

abc: 5.0095 5.0095 6.9454
angles: 90.00 90.00 120.00
Space group P-3m1 (No. 164)
Asymmetric unit:
Na 0.0000 0.0000 0.0000 (multiplicity 1)
Sr 0.3333 0.6667 0.6756 (multiplicity 2)
Co 0.0000 0.0000 0.5000 (multiplicity 1)
H 0.1484 0.2968 0.3691 (multiplicity 6)